<A>
Density functional theory data (PBE-GGA) for a geometry-optimized LaFeOs structure.

abc: 2.906 2.906 7.432
angles: 90.00 90.00 120.00
Each line ends with the local moment (μB).
Fractional positions:
Fe: 0.000 0.000 0.961  -2.30
La: 0.667 0.333 0.331  0.06
Os: 0.333 0.667 0.709  0.23

Properties
- Symmetry: P3m1 (156)

<B>
Density functional theory data (PBE-GGA) for a geometry-optimized LaFeOs structure.

abc: 4.546 4.546 4.546
angles: 60.00 60.00 60.00
Each line ends with the local moment (μB).
Fractional positions:
Fe: 0.000 0.000 0.000  -2.85
La: 0.500 0.500 0.500  0.08
Os: 0.750 0.750 0.750  -0.41

Properties
- Symmetry: F-43m (216)

We find <B> to be the most stable, with the next structure 14.2 kJ/mol of atoms higher.

<A>
Density functional theory data (PBE-GGA) for a geometry-optimized LaFeOs structure.

abc: 6.094 6.094 3.197
angles: 74.79 74.79 30.42
Each line ends with the local moment (μB).
Fractional positions:
Fe: 0.040 0.040 0.960  2.26
La: 0.331 0.331 0.669  -0.13
Os: 0.629 0.629 0.371  0.22

Properties
- Symmetry: I4mm (107)

<B>
Density functional theory data (PBE-GGA) for a geometry-optimized LaFeOs structure.

abc: 5.276 5.426 5.426
angles: 60.51 60.91 60.91
Each line ends with the local moment (μB).
Fractional positions:
La: 0.879 0.371 0.371  -0.15
La: 0.121 0.629 0.629  -0.15
Fe: 0.500 0.500 0.000  2.43
Fe: 0.500 0.000 0.500  2.43
Os: 0.000 0.000 0.000  0.26
Os: 0.500 0.000 0.000  0.26

Properties
- Symmetry: Imma (74)

<C>
Density functional theory data (PBE-GGA) for a geometry-optimized LaFeOs structure.

abc: 4.022 4.022 4.548
angles: 90.00 90.00 120.00
Fractional positions:
Fe: 0.000 0.000 0.833
La: 0.333 0.667 0.333
Os: 0.667 0.333 0.833

Properties
- Symmetry: P-6m2 (187)

We find <B> to be the most stable, with the next structure 8.0 kJ/mol of atoms higher.